1.
NpCdCoO6 | PBE with a Hubbard U | optimized geometry

Structure (POSCAR):
```
NpCdCoO6
1.0
5.176 0.000 0.000
-2.588 4.482 0.000
0.000 0.000 9.943
Np Cd Co O
2 2 2 12
Direct
0.333 0.667 0.250 Np
0.667 0.333 0.750 Np
0.000 0.000 0.000 Cd
0.000 0.000 0.500 Cd
0.333 0.667 0.750 Co
0.667 0.333 0.250 Co
0.015 0.367 0.642 O
0.015 0.648 0.858 O
0.352 0.367 0.858 O
0.352 0.985 0.642 O
0.367 0.015 0.142 O
0.367 0.352 0.358 O
0.633 0.648 0.642 O
0.633 0.985 0.858 O
0.648 0.015 0.358 O
0.648 0.633 0.142 O
0.985 0.352 0.142 O
0.985 0.633 0.358 O
```

Calculated values
M_tot in μB/cell: 0.0
E in eV/atom: -7.14
SG: P-31c


2.
NpCdCo2O6 | PBE with a Hubbard U | optimized geometry

Structure (POSCAR):
```
NpCdCo2O6
1.0
6.049 0.000 0.000
0.000 6.049 0.000
0.000 0.000 4.267
Np Cd Co O
1 1 2 6
Direct
0.000 0.000 0.000 Np
0.500 0.500 0.877 Cd
0.000 0.500 0.126 Co
0.500 0.000 0.126 Co
0.000 0.000 0.507 O
0.237 0.237 0.030 O
0.237 0.763 0.030 O
0.500 0.500 0.395 O
0.763 0.237 0.030 O
0.763 0.763 0.030 O
```

Calculated values
M_tot in μB/cell: 5.0
E in eV/atom: -6.63
SG: P4mm


3.
NpCdCo2O8 | PBE with a Hubbard U | optimized geometry

Structure (POSCAR):
```
NpCdCo2O8
1.0
-3.436 3.436 3.336
3.436 -3.436 3.336
3.436 3.436 -3.336
Np Cd Co O
1 1 2 8
Direct
0.000 0.000 0.000 Np
0.250 0.750 0.500 Cd
0.500 0.500 0.000 Co
0.750 0.250 0.500 Co
0.318 0.143 0.825 O
0.318 0.492 0.175 O
0.344 0.059 0.285 O
0.508 0.682 0.825 O
0.774 0.059 0.715 O
0.857 0.682 0.175 O
0.941 0.226 0.285 O
0.941 0.656 0.715 O
```

Calculated values
M_tot in μB/cell: 5.0
E in eV/atom: -6.61
SG: I-4m2


4.
NpCd2CoO8 | PBE with a Hubbard U | optimized geometry

Structure (POSCAR):
```
NpCd2CoO8
1.0
4.712 0.000 0.000
0.000 6.307 0.000
-0.234 0.000 5.102
Np Cd Co O
1 2 1 8
Direct
0.000 0.000 0.000 Np
0.500 0.263 0.500 Cd
0.500 0.737 0.500 Cd
0.000 0.500 0.000 Co
0.121 0.500 0.595 O
0.231 0.000 0.690 O
0.236 0.266 0.120 O
0.236 0.734 0.120 O
0.764 0.266 0.880 O
0.764 0.734 0.880 O
0.769 0.000 0.310 O
0.879 0.500 0.405 O
```

Calculated values
M_tot in μB/cell: 2.1
E in eV/atom: -6.31
SG: P2/m


5.
NpCd2CoO6 | PBE with a Hubbard U | optimized geometry

Structure (POSCAR):
```
NpCd2CoO6
1.0
5.527 0.000 0.000
0.000 5.696 0.000
-5.518 0.000 8.080
Np Cd Co O
2 4 2 12
Direct
0.000 0.000 0.000 Np
0.000 0.500 0.500 Np
0.240 0.048 0.751 Cd
0.240 0.452 0.251 Cd
0.760 0.548 0.749 Cd
0.760 0.952 0.249 Cd
0.500 0.000 0.500 Co
0.500 0.500 0.000 Co
0.126 0.198 0.438 O
0.126 0.302 0.938 O
0.250 0.696 0.444 O
0.250 0.804 0.944 O
0.359 0.052 0.249 O
0.359 0.448 0.749 O
0.641 0.552 0.251 O
0.641 0.948 0.751 O
0.750 0.196 0.056 O
0.750 0.304 0.556 O
0.874 0.698 0.062 O
0.874 0.802 0.562 O
```

Calculated values
M_tot in μB/cell: 8.0
E in eV/atom: -6.70
SG: P2_1/c


6.
CdCoO3 | PBE with a Hubbard U | optimized geometry

Structure (POSCAR):
```
CdCoO3
1.0
3.733 0.000 0.000
0.000 3.733 0.000
0.000 0.000 3.733
Cd Co O
1 1 3
Direct
0.000 0.000 0.000 Cd
0.500 0.500 0.500 Co
0.000 0.500 0.500 O
0.500 0.000 0.500 O
0.500 0.500 0.000 O
```

Calculated values
M_tot in μB/cell: 2.9
E in eV/atom: -4.71
SG: Pm-3m